# 1
# SiAg2Mo, relaxed, DFT PBE
data_SiAg2Mo
_chemical_formula_sum 'Si2 Ag4 Mo2'
_cell_length_a 3.719
_cell_length_b 3.719
_cell_length_c 9.512
_cell_angle_alpha 90.00
_cell_angle_beta 90.00
_cell_angle_gamma 90.00
_space_group_name_H-M_alt 'I 4/m m m'
_space_group_IT_number 139
_space_group_name_Hall '-I 4 2'
loop_
_atom_site_label
_atom_site_type_symbol
_atom_site_fract_x
_atom_site_fract_y
_atom_site_fract_z
Si1 Si 0.000 0.000 0.000
Ag1 Ag 0.000 0.500 0.250
Mo1 Mo 0.000 0.000 0.500
# raw formation energy = 0.4076 eV/atom
# calculated volume = 16.45 Å³/atom

---

# 2
# AlRe2W, relaxed, DFT PBE
data_AlRe2W
_chemical_formula_sum 'Al2 Re4 W2'
_cell_length_a 3.136
_cell_length_b 4.300
_cell_length_c 8.869
_cell_angle_alpha 90.00
_cell_angle_beta 90.00
_cell_angle_gamma 90.00
_space_group_name_H-M_alt 'I m m 2'
_space_group_IT_number 44
loop_
_space_group_symop_operation_xyz
'x,y,z'
'-x,-y,z'
'-x,y,z'
'x,-y,z'
'x+1/2,y+1/2,z+1/2'
'-x+1/2,-y+1/2,z+1/2'
'-x+1/2,y+1/2,z+1/2'
'x+1/2,-y+1/2,z+1/2'
loop_
_atom_site_label
_atom_site_type_symbol
_atom_site_fract_x
_atom_site_fract_y
_atom_site_fract_z
Al1 Al 0.000 0.000 0.000
Re1 Re 0.000 0.000 0.498
Re2 Re 0.000 0.500 0.750
W1 W 0.000 0.500 0.243
# energy of formation from the pure elements = -0.115 eV/atom
# calculated volume = 14.95 Å³/atom

---

# 3
# Na3ZrV, relaxed, DFT PBE
data_Na3ZrV
_chemical_formula_sum 'Na3 Zr1 V1'
_cell_length_a 5.949
_cell_length_b 5.949
_cell_length_c 5.949
_cell_angle_alpha 90.00
_cell_angle_beta 90.00
_cell_angle_gamma 90.00
_space_group_name_H-M_alt 'P m -3 m'
_space_group_IT_number 221
_space_group_name_Hall '-P 4 2 3'
loop_
_atom_site_label
_atom_site_type_symbol
_atom_site_fract_x
_atom_site_fract_y
_atom_site_fract_z
Na1 Na 0.000 0.000 0.500
Zr1 Zr 0.000 0.000 0.000
V1 V 0.500 0.500 0.500
# energy of formation from the pure elements = 1.841 eV/atom
# calculated volume = 42.11 Å³/atom
# polymorph energy (0 for the lowest one) = 335 meV/atom

---

# 4
# HfBeTeN2, relaxed, DFT PBE
data_HfBeTeN2
_chemical_formula_sum 'Hf1 Be1 Te1 N2'
_cell_length_a 4.031
_cell_length_b 4.031
_cell_length_c 6.142
_cell_angle_alpha 90.00
_cell_angle_beta 90.00
_cell_angle_gamma 90.00
_space_group_name_H-M_alt 'P 4/m m m'
_space_group_IT_number 123
_space_group_name_Hall '-P 4 2'
loop_
_atom_site_label
_atom_site_type_symbol
_atom_site_fract_x
_atom_site_fract_y
_atom_site_fract_z
Hf1 Hf 0.000 0.000 0.000
Be1 Be 0.500 0.500 0.500
Te1 Te 0.000 0.000 0.500
N1 N 0.000 0.500 0.000
# raw formation energy = 0.5480 eV/atom
# calculated volume = 19.96 Å³/atom
# polymorph energy (0 for the lowest one) = 0 meV/atom

---

no.,E_tot (Ry/atom),mass density (g/cm³),D(E_F) (states/eV/cell)
1,-0.3735,8.6,6.43
2,-0.7727,16.2,4.15
3,-0.1825,1.7,12.17
4,-0.4518,5.7,2.20